1.
Density functional theory data (GGA-PBE) for a relaxed Al2C2I crystal.

The calculation puts the uncorrected formation energy at 0.921 eV per atom. The calculation puts the relative energy among the computed polymorphs at 0.000 eV/f.u. Its space-group type is I4/mmm. Its volume is 74.53 Å³ per cell.

abc: 4.4238 4.4238 4.9283
angles: 63.33 63.33 90.00
With the nearest neighbours (Å) after each atom.
Sites, in units of the cell vectors:
Al (0.2500, 0.7500, 0.5000)  4 C 2.53
Al (0.7500, 0.2500, 0.5000)  4 C 2.53
C (0.4116, 0.4116, 0.1768)  1 C 1.35
C (0.5884, 0.5884, 0.8232)  1 C 1.35
I (0.0000, 0.0000, 0.0000)  8 Al 2.92, 10 C 3.13-3.20

2.
Density functional theory data (GGA-PBE) for a relaxed AlCI3 crystal.

The calculation puts the uncorrected formation energy at 1.292 eV per atom. The calculation puts the relative energy among the computed polymorphs at 1.279 eV/f.u. Its space-group type is Pm-3m. Its volume is 172.76 Å³ per cell.

abc: 5.5694 5.5694 5.5694
angles: 90.00 90.00 90.00
With the nearest neighbours (Å) after each atom.
Sites, in units of the cell vectors:
I (0.0000, 0.5000, 0.0000)  2 Al 2.78
I (0.5000, 0.0000, 0.0000)  2 Al 2.78
I (0.0000, 0.0000, 0.5000)  2 Al 2.78
Al (0.0000, 0.0000, 0.0000)  6 I 2.78
C (0.5000, 0.5000, 0.5000)  12 I 3.94

3.
Density functional theory data (GGA-PBE) for a relaxed Al2C2I crystal.

The calculation puts the uncorrected formation energy at 1.352 eV per atom. The calculation puts the relative energy among the computed polymorphs at 2.156 eV/f.u. Its space-group type is P4/mbm. Its volume is 185.80 Å³ per cell.

abc: 7.2509 7.2509 3.5340
angles: 90.00 90.00 90.00
With the nearest neighbours (Å) after each atom.
Sites, in units of the cell vectors:
Al (0.1311, 0.6311, 0.5000)  2 C 1.94
Al (0.6311, 0.8689, 0.5000)  2 C 1.94
Al (0.8689, 0.3689, 0.5000)  2 C 1.94
Al (0.3689, 0.1311, 0.5000)  2 C 1.94
C (0.7902, 0.2902, 0.0000)  2 Al 1.94
C (0.7098, 0.7902, 0.0000)  2 Al 1.94
C (0.2902, 0.2098, 0.0000)  2 Al 1.94
C (0.2098, 0.7098, 0.0000)  2 Al 1.94
I (0.5000, 0.5000, 0.0000)  4 C 2.60
I (0.0000, 0.0000, 0.0000)  4 C 2.60

4.
Density functional theory data (GGA-PBE) for a relaxed AlC2I crystal.

The calculation puts the uncorrected formation energy at 1.591 eV per atom. The calculation puts the relative energy among the computed polymorphs at 0.000 eV/f.u. Its space-group type is I-42d. Its volume is 130.23 Å³ per cell.

abc: 5.0328 5.0328 6.2531
angles: 66.27 66.27 90.00
With the nearest neighbours (Å) after each atom.
Sites, in units of the cell vectors:
C (0.3750, 0.4432, 0.7500)  2 Al 2.02
C (0.5568, 0.1250, 0.2500)  2 Al 2.02
C (0.1932, 0.6250, 0.2500)  2 Al 2.02
C (0.8750, 0.8068, 0.7500)  2 Al 2.02
I (0.7500, 0.2500, 0.5000)  4 C 2.41
I (0.0000, 0.0000, 0.0000)  4 C 2.41
Al (0.5000, 0.5000, 0.0000)  4 C 2.02
Al (0.2500, 0.7500, 0.5000)  4 C 2.02

5.
Density functional theory data (GGA-PBE) for a relaxed AlC2I crystal.

The calculation puts the uncorrected formation energy at 2.549 eV per atom. The calculation puts the relative energy among the computed polymorphs at 3.834 eV/f.u. Its space-group type is Fm-3m. Its volume is 53.36 Å³ per cell.

abc: 4.2259 4.2259 4.2259
angles: 60.00 60.00 60.00
With the nearest neighbours (Å) after each atom.
Sites, in units of the cell vectors:
C (0.2500, 0.2500, 0.2500)  4 I 2.59, 4 Al 2.59
C (0.7500, 0.7500, 0.7500)  4 I 2.59, 4 Al 2.59
I (0.5000, 0.5000, 0.5000)  8 C 2.59
Al (0.0000, 0.0000, 0.0000)  8 C 2.59

6.
Density functional theory data (GGA-PBE) for a relaxed AlCIN2 crystal.

The calculation puts the uncorrected formation energy at 1.748 eV per atom. The calculation puts the relative energy among the computed polymorphs at 0.000 eV/f.u. Its space-group type is P4/mmm. Its volume is 98.53 Å³ per cell.

abc: 3.5990 3.5990 7.6073
angles: 90.00 90.00 90.00
With the nearest neighbours (Å) after each atom.
Sites, in units of the cell vectors:
Al (0.0000, 0.0000, 0.0000)  4 N 1.80
N (0.0000, 0.5000, 0.0000)  2 Al 1.80
N (0.5000, 0.0000, 0.0000)  2 Al 1.80
I (0.0000, 0.0000, 0.5000)  4 C 2.54
C (0.5000, 0.5000, 0.5000)  4 I 2.54

7.
Density functional theory data (GGA-PBE) for a relaxed AlCIN2 crystal.

The calculation puts the uncorrected formation energy at 2.409 eV per atom. The calculation puts the relative energy among the computed polymorphs at 3.304 eV/f.u. Its space-group type is P4/mmm. Its volume is 63.91 Å³ per cell.

abc: 3.8539 3.8539 4.3031
angles: 90.00 90.00 90.00
With the nearest neighbours (Å) after each atom.
Sites, in units of the cell vectors:
I (0.0000, 0.0000, 0.5000)  2 C 2.15
C (0.0000, 0.0000, 0.0000)  4 N 1.93, 2 I 2.15
N (0.0000, 0.5000, 0.0000)  2 C 1.93
N (0.5000, 0.0000, 0.0000)  2 C 1.93
Al (0.5000, 0.5000, 0.5000)  4 I 2.73, 8 N 2.89

8.
Density functional theory data (GGA-PBE) for a relaxed AlCI2O crystal.

The calculation puts the uncorrected formation energy at 0.941 eV per atom. The calculation puts the relative energy among the computed polymorphs at 1.962 eV/f.u. Its space-group type is P4/mmm. Its volume is 117.59 Å³ per cell.

abc: 6.1739 6.1739 3.0849
angles: 90.00 90.00 90.00
With the nearest neighbours (Å) after each atom.
Sites, in units of the cell vectors:
I (0.5000, 0.0000, 0.0000)  2 I 3.08, 2 C 3.09, 4 Al 3.45, 4 O 3.45
I (0.0000, 0.5000, 0.0000)  2 I 3.08, 2 C 3.09, 4 O 3.45, 4 Al 3.45
C (0.0000, 0.0000, 0.0000)  2 O 1.54
Al (0.5000, 0.5000, 0.5000)  2 Al 3.08, 8 I 3.45
O (0.0000, 0.0000, 0.5000)  2 C 1.54

9.
Density functional theory data (GGA-PBE) for a relaxed AlCI2O crystal.

The calculation puts the uncorrected formation energy at 0.548 eV per atom. The calculation puts the relative energy among the computed polymorphs at 0.000 eV/f.u. Its space-group type is P4/mmm. Its volume is 113.57 Å³ per cell.

abc: 5.7804 5.7804 3.3989
angles: 90.00 90.00 90.00
With the nearest neighbours (Å) after each atom.
Sites, in units of the cell vectors:
I (0.5000, 0.0000, 0.0000)  2 Al 2.89
I (0.0000, 0.5000, 0.0000)  2 Al 2.89
O (0.0000, 0.0000, 0.5000)  2 Al 1.70
C (0.5000, 0.5000, 0.5000)  8 I 3.35, 2 C 3.40
Al (0.0000, 0.0000, 0.0000)  2 O 1.70

10.
Density functional theory data (GGA-PBE) for a relaxed Al2PtCI crystal.

The calculation puts the uncorrected formation energy at 1.245 eV per atom. Its space-group type is P4/mmm. Its volume is 130.06 Å³ per cell.

abc: 4.7472 5.7712 4.7472
angles: 90.00 90.00 90.00
With the nearest neighbours (Å) after each atom.
Sites, in units of the cell vectors:
Pt (0.0000, 0.0000, 0.0000)  4 Al 2.37
I (0.0000, 0.5000, 0.0000)  2 Pt 2.89
C (0.5000, 0.5000, 0.5000)  4 I 3.36, 8 Al 3.74
Al (0.5000, 0.0000, 0.0000)  2 Pt 2.37
Al (0.0000, 0.0000, 0.5000)  2 Pt 2.37

11.
Density functional theory data (GGA-PBE) for a relaxed Rb2AlCI6 crystal.

The calculation puts the uncorrected formation energy at -0.237 eV per atom. Its space-group type is Fm-3m. Its volume is 352.50 Å³ per cell.

abc: 7.9290 7.9290 7.9291
angles: 60.00 60.00 90.00
With the nearest neighbours (Å) after each atom.
Sites, in units of the cell vectors:
Rb (0.7500, 0.2500, 0.5000)  12 I 3.96-3.97
Rb (0.2500, 0.7500, 0.5000)  12 I 3.96-3.97
C (0.5000, 0.5000, 0.0000)  6 I 2.74
I (0.7444, 0.2556, 0.0000)  1 C 2.74, 1 Al 2.87
I (0.2556, 0.7444, 0.0000)  1 C 2.74, 1 Al 2.87
I (0.2556, 0.2556, 0.0000)  1 C 2.74, 1 Al 2.87
I (0.7448, 0.7448, 0.5105)  1 C 2.74, 1 Al 2.86
I (0.7444, 0.7444, 0.0000)  1 C 2.74, 1 Al 2.87
I (0.2552, 0.2552, 0.4895)  1 C 2.74, 1 Al 2.86
Al (0.0000, 0.0000, 0.0000)  6 I 2.86-2.87

12.
Density functional theory data (GGA-PBE) for a relaxed AlRhCI2 crystal.

The calculation puts the uncorrected formation energy at 1.443 eV per atom. Its space-group type is P4/mmm. Its volume is 140.55 Å³ per cell.

abc: 5.4656 4.7049 5.4656
angles: 90.00 90.00 90.00
With the nearest neighbours (Å) after each atom.
Sites, in units of the cell vectors:
Al (0.0000, 0.5000, 0.0000)  2 Rh 2.35
C (0.5000, 0.5000, 0.5000)  8 I 3.61, 4 Al 3.86
I (0.5000, 0.0000, 0.0000)  2 Rh 2.73
I (0.0000, 0.0000, 0.5000)  2 Rh 2.73
Rh (0.0000, 0.0000, 0.0000)  2 Al 2.35